[1]
{"formula": "KAg3F", "functional": "SCAN", "state": "single point on PBEsol structure", "m_tot_mub_per_atom": 0.00, "sg": "Pm-3m", "dft_energy_ev_per_atom": -20.16, "formation_energy_uncorrected_ev_per_atom": 1.036, "lattice": [[-2.392, 4.474, -2.159], [2.123, -1.245, -4.934], [-4.491, -2.971, -1.183]], "species": ["K", "Ag", "Ag", "Ag", "F"], "fractional_positions": [[0.000, 0.000, 0.000], [0.000, 0.500, 0.000], [0.000, 0.000, 0.500], [0.500, 0.000, 0.000], [0.500, 0.500, 0.500]]}

=====

[2]
{"formula": "In2FeIr", "functional": "SCAN", "state": "single point on PBEsol structure", "m_tot_mub_per_atom": 0.76, "formation_enthalpy_0k_ev_per_atom": 0.1862, "sg": "C2/m", "dft_energy_ev_per_atom": -38.81, "lattice": [[-0.551, 2.688, 1.203], [-1.261, -3.279, 3.018], [5.004, 0.501, 1.173]], "species": ["Fe", "In", "In", "Ir"], "fractional_positions": [[0.500, 0.000, 0.000], [0.750, 0.500, 0.751], [0.250, 0.500, 0.249], [0.000, 0.000, 0.500]]}

=====

[3]
{"formula": "Li3In", "functional": "SCAN", "state": "single point on PBEsol structure", "m_tot_mub_per_atom": 0.00, "e_above_lowest_polymorph_mev_per_atom": 72, "formation_enthalpy_0k_ev_per_atom": -0.2442, "sg": "P4/mmm", "dft_energy_ev_per_atom": -10.38, "lattice": [[3.390, 0.000, 0.000], [0.000, 3.390, 0.000], [0.000, 0.000, 6.462]], "species": ["In", "Li", "Li", "Li"], "fractional_positions": [[0.000, 0.000, 0.000], [0.500, 0.500, 0.758], [0.000, 0.000, 0.500], [0.500, 0.500, 0.242]]}

=====

[4]
{"formula": "LiPbNF2", "functional": "SCAN", "state": "single point on PBEsol structure", "m_tot_mub_per_atom": 0.05, "sg": "P4/mmm", "dft_energy_ev_per_atom": -19.71, "formation_energy_uncorrected_ev_per_atom": -0.799, "lattice": [[-0.788, -1.430, -3.729], [-2.646, -3.207, 1.790], [-3.567, 2.770, -0.309]], "species": ["Pb", "N", "Li", "F", "F"], "fractional_positions": [[0.000, 0.000, 0.000], [0.500, 0.000, 0.000], [0.500, 0.500, 0.500], [0.000, 0.000, 0.500], [0.000, 0.500, 0.000]]}

=====

[5]
{"formula": "CoSb2IrI", "functional": "SCAN", "state": "single point on PBEsol structure", "m_tot_mub_per_atom": 0.48, "sg": "P4/mmm", "dft_energy_ev_per_atom": -39.04, "formation_energy_uncorrected_ev_per_atom": 0.895, "lattice": [[-2.126, 4.176, 1.803], [-2.484, -2.733, 3.402], [4.200, 0.605, 3.552]], "species": ["I", "Sb", "Sb", "Ir", "Co"], "fractional_positions": [[0.000, 0.000, 0.500], [0.000, 0.500, 0.000], [0.500, 0.000, 0.000], [0.000, 0.000, 0.000], [0.500, 0.500, 0.500]]}

=====

[6]
{"formula": "LaReBr2", "functional": "SCAN", "state": "single point on PBEsol structure", "m_tot_mub_per_atom": 0.53, "e_above_lowest_polymorph_mev_per_atom": 330, "sg": "I-4m2", "dft_energy_ev_per_atom": -38.03, "formation_energy_uncorrected_ev_per_atom": 0.250, "lattice": [[4.179, 0.000, 0.000], [0.000, 4.179, 0.000], [-2.090, -2.090, 5.098]], "species": ["Re", "Br", "Br", "La"], "fractional_positions": [[0.250, 0.750, 0.500], [0.000, 0.000, 0.000], [0.750, 0.250, 0.500], [0.500, 0.500, 0.000]]}

=====

[7]
{"formula": "SrTl2Zn", "functional": "SCAN", "state": "single point on PBEsol structure", "m_tot_mub_per_atom": 0.00, "formation_enthalpy_0k_ev_per_atom": -0.0592, "sg": "C2/m", "dft_energy_ev_per_atom": -45.19, "lattice": [[-3.006, 1.205, 1.768], [-0.919, -5.306, 1.275], [4.951, 2.655, 3.147]], "species": ["Sr", "Tl", "Tl", "Zn"], "fractional_positions": [[0.500, 0.000, 0.000], [0.500, 0.500, 0.500], [0.000, 0.000, 0.500], [0.000, 0.500, 0.000]]}

=====

[8]
{"formula": "NiP3", "functional": "SCAN", "state": "single point on PBEsol structure", "m_tot_mub_per_atom": 0.00, "e_above_lowest_polymorph_mev_per_atom": 342, "formation_enthalpy_0k_ev_per_atom": 0.0065, "sg": "Imm2", "dft_energy_ev_per_atom": -11.84, "lattice": [[-0.971, 2.299, -0.348], [-1.591, -1.300, -4.154], [-3.031, -2.000, 4.372]], "species": ["Ni", "P", "P", "P"], "fractional_positions": [[0.000, 0.920, 0.000], [0.500, 0.532, 0.000], [0.345, 0.035, 0.690], [0.655, 0.345, 0.310]]}

=====

Taking the records one at a time from the top gives Fermi-level density of states values of 3.17, 2.07, 1.33, 2.48, 4.15, 3.32, 2.18, 0.70 states/eV per cell.